1.
! Ti2Rh2Pb PBEsol relaxed; values from VASP
! - space-group type = I4/mmm (139)
! - energy of formation from the pure elements (eV/atom) = -0.365
! - E (eV/atom) = -7.7490
! - crystal system = tetragonal
! - size of the total moment (μB per formula unit) = 0.00
&SYSTEM
  ibrav = 0, nat = 5, ntyp = 3
/
ATOMIC_SPECIES
Ti 47.87 Ti.upf
Rh 102.91 Rh.upf
Pb 207.20 Pb.upf
ATOMIC_POSITIONS crystal
Ti 0.250 0.750 0.500
Ti 0.750 0.250 0.500
Rh 0.122 0.122 0.000
Rh 0.878 0.878 0.000
Pb 0.500 0.500 0.000
CELL_PARAMETERS angstrom
-2.094 2.094 5.168
2.094 -2.094 5.168
2.094 2.094 -5.168



2.
! AlCrTc PBEsol relaxed; values from VASP
! - ΔE to the lowest computed polymorph (eV/atom) = 1.084
! - space-group type = F-43m (216)
! - energy of formation from the pure elements (eV/atom) = 0.801
! - E (eV/atom) = -7.7320
! - crystal system = cubic
! - size of the total moment (μB per formula unit) = 2.60
&SYSTEM
  ibrav = 0, nat = 3, ntyp = 3
/
ATOMIC_SPECIES
Al 26.98 Al.upf
Cr 52.00 Cr.upf
Tc 98.00 Tc.upf
ATOMIC_POSITIONS crystal
Al 0.000 0.000 0.000
Cr 0.750 0.750 0.750
Tc 0.250 0.250 0.250
CELL_PARAMETERS angstrom
0.000 2.886 2.886
2.886 0.000 2.886
2.886 2.886 0.000



3.
! AgH3I PBEsol relaxed; values from VASP
! - ΔE to the lowest computed polymorph (eV/atom) = 0.000
! - space-group type = Pm-3m (221)
! - E (eV/atom) = -2.2302
! - crystal system = cubic
! - size of the total moment (μB per formula unit) = 0.00
&SYSTEM
  ibrav = 0, nat = 5, ntyp = 3
/
ATOMIC_SPECIES
Ag 107.87 Ag.upf
H 1.01 H.upf
I 126.90 I.upf
ATOMIC_POSITIONS crystal
Ag 0.000 0.000 0.000
H 0.000 0.000 0.500
H 0.000 0.500 0.000
H 0.500 0.000 0.000
I 0.500 0.500 0.500
CELL_PARAMETERS angstrom
3.903 0.000 0.000
0.000 3.903 0.000
0.000 0.000 3.903